The following is a DFT calculation (GGA-PBEsol) of a geometry-optimized Fe2SnMoPt structure.

The structure in extended XYZ format:
```
5
Lattice="4.5993 0.0000 0.0000 0.0000 4.5993 0.0000 0.0000 0.0000 4.7610" Properties=species:S:1:pos:R:3 pbc="T T T"
Sn 2.2997 2.2997 2.3805
Fe 2.2997 0.0000 0.0000
Fe 0.0000 2.2997 0.0000
Pt 0.0000 0.0000 0.0000
Mo 0.0000 0.0000 2.3805
```

Results
- DFT total energy (eV per atom) = -6.9732
- density of states at the Fermi level (states/eV per cell) = 5.2
- ΔH_f (0 K) (eV/atom) = 1.2103

---

The following is a DFT calculation (GGA-PBEsol) of a geometry-optimized Mg2In structure.

The structure in extended XYZ format:
```
3
Lattice="3.2691 0.0000 0.0000 0.0000 4.4262 0.0000 -1.6346 -2.2131 4.6328" Properties=species:S:1:pos:R:3 pbc="T T T"
Mg 1.6346 2.2131 1.5285
Mg 0.0000 0.0000 3.1043
In 0.0000 0.0000 0.0000
```

Results
- DFT total energy (eV per atom) = -2.2432
- density of states at the Fermi level (states/eV per cell) = 1.0
- ΔH_f (0 K) (eV/atom) = -0.1042

---

The following is a DFT calculation (GGA-PBEsol) of a geometry-optimized Co2SiIr structure.

The structure in extended XYZ format:
```
4
Lattice="-1.9062 1.5893 -0.8349 -2.4076 -1.7931 2.0832 1.6408 2.4093 3.9699" Properties=species:S:1:pos:R:3 pbc="T T T"
Co -0.4925 3.1874 2.1743
Ir -2.1569 -0.1019 0.6242
Co 0.2271 0.8112 0.9607
Si -1.3365 1.1027 2.6091
```

Results
- DFT total energy (eV per atom) = -8.0014
- density of states at the Fermi level (states/eV per cell) = 4.3
- formation energy from raw total energies (eV per atom) = -0.240

---

The following is a DFT calculation (GGA-PBEsol) of a geometry-optimized BeAs2W structure.

The structure in extended XYZ format:
```
4
Lattice="3.1851 0.0000 0.0000 0.0000 4.2757 0.0611 0.0000 -0.7433 4.2110" Properties=species:S:1:pos:R:3 pbc="T T T"
As 0.0000 -0.3717 2.1055
W 1.5925 0.0000 0.0000
Be 1.5925 1.7662 2.1361
As 0.0000 2.1378 0.0305
```

Results
- DFT total energy (eV per atom) = -6.5568
- density of states at the Fermi level (states/eV per cell) = 2.1
- ΔH_f (0 K) (eV/atom) = 0.4483

---

The following is a DFT calculation (GGA-PBEsol) of a geometry-optimized CdCuSi2O structure.

The structure in extended XYZ format:
```
5
Lattice="3.8830 0.0000 0.0000 0.0000 4.3311 0.0000 0.0000 0.0000 4.3311" Properties=species:S:1:pos:R:3 pbc="T T T"
Cd 1.9415 2.1655 2.1655
Si 0.0000 2.1655 0.0000
O 0.0000 0.0000 0.0000
Si 0.0000 0.0000 2.1655
Cu 1.9415 0.0000 0.0000
```

Results
- DFT total energy (eV per atom) = -4.3078
- density of states at the Fermi level (states/eV per cell) = 2.5
- formation energy from raw total energies (eV per atom) = 0.147

---

The following is a DFT calculation (GGA-PBEsol) of a geometry-optimized CeHgPd structure.

The structure in extended XYZ format:
```
9
Lattice="-2.8781 0.8191 -2.2917 4.3150 -1.8844 -6.0926 -4.2964 -5.3589 3.4804" Properties=species:S:1:pos:R:3 pbc="T T T"
Hg -1.1456 -1.4290 0.9280
Pd -1.4259 -4.2007 0.2894
Ce -4.0228 -2.8132 0.9472
Ce -1.4317 -2.4777 -2.1871
Pd 1.4445 -3.0426 -2.9016
Hg 0.0136 -5.3119 -1.9157
Hg 1.1506 -0.5025 -1.6246
Ce 1.1559 -0.7237 -4.8099
Pd -1.4391 0.4095 -1.1459
```

Results
- DFT total energy (eV per atom) = -4.9754
- density of states at the Fermi level (states/eV per cell) = 15.7
- ΔH_f (0 K) (eV/atom) = -0.6017

---

The following is a DFT calculation (GGA-PBEsol) of a geometry-optimized TcSI2N structure.

The structure in extended XYZ format:
```
5
Lattice="-1.7050 1.7528 2.7667 -2.8216 -4.4322 1.0692 3.8285 -1.6205 3.3861" Properties=species:S:1:pos:R:3 pbc="T T T"
S -0.3491 -2.1499 3.6110
N -0.8525 0.8764 1.3833
I 1.9143 -0.8103 1.6930
I -1.4108 -2.2161 0.5346
Tc 0.0000 0.0000 0.0000
```

Results
- DFT total energy (eV per atom) = -5.0018
- density of states at the Fermi level (states/eV per cell) = 4.6
- formation energy from raw total energies (eV per atom) = 0.540

---

The following is a DFT calculation (GGA-PBEsol) of a geometry-optimized CoMo2W structure.

The structure in extended XYZ format:
```
4
Lattice="-3.9339 -1.6063 -0.7701 -0.4418 -4.0831 -1.3346 -1.6770 -2.9684 2.6504" Properties=species:S:1:pos:R:3 pbc="T T T"
Co -3.0263 -4.3289 0.2729
Mo 0.0000 0.0000 0.0000
W -1.5132 -2.1645 0.1364
Mo -4.5395 -6.4934 0.4093
```

Results
- DFT total energy (eV per atom) = -11.0466
- density of states at the Fermi level (states/eV per cell) = 4.0
- energy above the lowest structure with this stoichiometry (meV/atom) = 149
- ΔH_f (0 K) (eV/atom) = 0.2235

---

The following is a DFT calculation (GGA-PBEsol) of a geometry-optimized KLiCo2Tc structure.

The structure in extended XYZ format:
```
5
Lattice="-1.7759 3.9227 0.7514 -2.0463 -0.1874 -3.8579 -4.0407 -2.2609 2.2531" Properties=species:S:1:pos:R:3 pbc="T T T"
Co -0.8880 1.9613 0.3757
K -3.9315 0.7372 -0.4267
Tc 0.0000 0.0000 0.0000
Co -1.0232 -0.0937 -1.9290
Li -2.0203 -1.1305 1.1265
```

Results
- DFT total energy (eV per atom) = -4.8743
- density of states at the Fermi level (states/eV per cell) = 7.1
- ΔH_f (0 K) (eV/atom) = 1.0938

---

The following is a DFT calculation (GGA-PBEsol) of a geometry-optimized SrW2Br structure.

The structure in extended XYZ format:
```
4
Lattice="-2.0007 2.0808 -0.2624 -2.4683 -2.8565 -3.8307 -1.7460 -0.9696 5.6237" Properties=species:S:1:pos:R:3 pbc="T T T"
Br -1.0004 1.0404 -0.1312
Sr -2.2345 -0.3879 -2.0466
W -2.1072 -1.9130 0.8965
W -0.8730 -0.4848 2.8118
```

Results
- DFT total energy (eV per atom) = -6.4842
- density of states at the Fermi level (states/eV per cell) = 4.6
- formation energy from raw total energies (eV per atom) = 1.347
- energy above the lowest structure with this stoichiometry (meV/atom) = 749

---

The following is a DFT calculation (GGA-PBEsol) of a geometry-optimized CaCdSe2 structure.

The structure in extended XYZ format:
```
8
Lattice="-4.5967 1.2516 4.3095 -4.4865 -1.1450 -4.4529 4.4483 -5.8671 1.6607" Properties=species:S:1:pos:R:3 pbc="T T T"
Ca -2.3450 -2.2811 2.9492
Cd 0.0000 0.0000 0.0000
Se -2.4418 -4.3595 1.0555
Se -4.6960 -0.7728 2.6133
Se -4.4338 -2.0275 -1.9622
Se 2.3019 -4.3612 1.3279
Ca -4.5416 0.0533 -0.0717
Cd -2.2899 -3.4794 -1.4320
```

Results
- DFT total energy (eV per atom) = -3.8815
- density of states at the Fermi level (states/eV per cell) = 0.0
- formation energy from raw total energies (eV per atom) = -1.124

---

The following is a DFT calculation (GGA-PBEsol) of a geometry-optimized Ga2ReGeO structure.

The structure in extended XYZ format:
```
5
Lattice="3.7591 0.0000 0.0000 0.0000 4.6561 0.0000 0.0000 0.0000 4.6561" Properties=species:S:1:pos:R:3 pbc="T T T"
O 0.0000 0.0000 0.0000
Ga 0.0000 0.0000 2.3281
Ga 0.0000 2.3281 0.0000
Re 1.8796 0.0000 0.0000
Ge 1.8796 2.3281 2.3281
```

Results
- DFT total energy (eV per atom) = -5.7912
- density of states at the Fermi level (states/eV per cell) = 3.6
- formation energy from raw total energies (eV per atom) = 0.249

---

The following is a DFT calculation (GGA-PBEsol) of a geometry-optimized BaSr structure.

The structure in extended XYZ format:
```
4
Lattice="4.2977 0.0000 0.0000 0.0000 4.2977 0.0000 0.0000 0.0000 12.0217" Properties=species:S:1:pos:R:3 pbc="T T T"
Ba 2.1489 0.0000 1.5831
Sr 0.0000 2.1489 4.5872
Ba 0.0000 2.1489 10.4387
Sr 2.1489 0.0000 7.4345
```

Results
- DFT total energy (eV per atom) = -1.9824
- density of states at the Fermi level (states/eV per cell) = 5.4
- energy above the lowest structure with this stoichiometry (meV/atom) = 14
- ΔH_f (0 K) (eV/atom) = 0.0123

---

The following is a DFT calculation (GGA-PBEsol) of a geometry-optimized CdNiIrAu2 structure.

The structure in extended XYZ format:
```
5
Lattice="4.3848 0.0000 0.0000 0.0000 5.0011 0.0000 0.0000 0.0000 5.0011" Properties=species:S:1:pos:R:3 pbc="T T T"
Au 0.0000 0.0000 2.5005
Ni 2.1924 0.0000 0.0000
Cd 2.1924 2.5005 2.5005
Au 0.0000 2.5005 0.0000
Ir 0.0000 0.0000 0.0000
```

Results
- DFT total energy (eV per atom) = -3.9385
- density of states at the Fermi level (states/eV per cell) = 5.3
- ΔH_f (0 K) (eV/atom) = 1.0667